(1)
Rb3TlN | GGA-PBE | optimized geometry Values from VASP.

Cell and atoms, written as Quantum ESPRESSO input:
```
&SYSTEM
  ibrav = 0, nat = 5, ntyp = 3
/
ATOMIC_SPECIES
Rb 85.47 Rb.upf
Tl 204.38 Tl.upf
N 14.01 N.upf
CELL_PARAMETERS angstrom
5.9564 0.0000 0.0000
0.0000 5.9564 0.0000
0.0000 0.0000 5.9564
ATOMIC_POSITIONS angstrom
Rb 0.0000 0.0000 2.9782
Rb 0.0000 2.9782 0.0000
Rb 2.9782 0.0000 0.0000
Tl 2.9782 2.9782 2.9782
N 0.0000 0.0000 0.0000
```

- Offset from the most stable computed form: 0.00 eV/f.u.

(2)
RbTlN2 | GGA-PBE | optimized geometry Values from VASP.

Cell and atoms, written as Quantum ESPRESSO input:
```
&SYSTEM
  ibrav = 0, nat = 4, ntyp = 3
/
ATOMIC_SPECIES
Rb 85.47 Rb.upf
Tl 204.38 Tl.upf
N 14.01 N.upf
CELL_PARAMETERS angstrom
2.2597 1.3046 7.1842
-2.2597 1.3046 7.1842
0.0000 -2.6093 7.1842
ATOMIC_POSITIONS angstrom
Rb 0.0000 0.0000 0.0000
Tl 0.0000 0.0000 10.7763
N 0.0000 0.0000 8.8054
N 0.0000 0.0000 12.7472
```

- Offset from the most stable computed form: 5.49 eV/f.u.

(3)
RbTlN2 | GGA-PBE | optimized geometry Values from VASP.

Cell and atoms, written as Quantum ESPRESSO input:
```
&SYSTEM
  ibrav = 0, nat = 8, ntyp = 3
/
ATOMIC_SPECIES
Rb 85.47 Rb.upf
Tl 204.38 Tl.upf
N 14.01 N.upf
CELL_PARAMETERS angstrom
-3.3441 3.3441 4.0887
3.3441 -3.3441 4.0887
3.3441 3.3441 -4.0887
ATOMIC_POSITIONS angstrom
Rb 0.0000 0.0000 0.0000
Rb 0.0000 3.3441 2.0444
Tl 3.3441 0.0000 2.0444
Tl 0.0000 0.0000 4.0887
N 1.6721 -1.1169 3.0666
N 2.2272 1.6721 1.0222
N 1.6721 4.4610 -1.0222
N 1.1169 1.6721 5.1109
```

- Offset from the most stable computed form: 4.92 eV/f.u.

(4)
RbTlN2 | GGA-PBE | optimized geometry Values from VASP.

Cell and atoms, written as Quantum ESPRESSO input:
```
&SYSTEM
  ibrav = 0, nat = 8, ntyp = 3
/
ATOMIC_SPECIES
Rb 85.47 Rb.upf
Tl 204.38 Tl.upf
N 14.01 N.upf
CELL_PARAMETERS angstrom
4.6184 0.0000 0.0000
0.0007 4.7110 0.0000
0.0530 2.2883 10.6744
ATOMIC_POSITIONS angstrom
Rb 0.0291 2.3194 3.3837
Rb 4.6430 4.6799 7.2908
Tl 0.0000 0.0000 0.0000
Tl 2.3096 2.3555 0.0000
N 1.7594 2.3244 6.1951
N 1.7613 4.6750 4.4793
N 2.9109 2.3242 6.1951
N 2.9128 4.6749 4.4793
```

- Offset from the most stable computed form: 0.00 eV/f.u.

(5)
RbTl3N | GGA-PBE | optimized geometry Values from VASP.

Cell and atoms, written as Quantum ESPRESSO input:
```
&SYSTEM
  ibrav = 0, nat = 5, ntyp = 3
/
ATOMIC_SPECIES
Rb 85.47 Rb.upf
Tl 204.38 Tl.upf
N 14.01 N.upf
CELL_PARAMETERS angstrom
5.3668 0.0000 0.0000
0.0000 5.3668 0.0000
0.0000 0.0000 5.3668
ATOMIC_POSITIONS angstrom
Rb 0.0000 0.0000 0.0000
Tl 0.0000 2.6834 2.6834
Tl 2.6834 0.0000 2.6834
Tl 2.6834 2.6834 0.0000
N 2.6834 2.6834 2.6834
```

- Offset from the most stable computed form: 0.00 eV/f.u.

(6)
RbTlVN2 | GGA-PBE | optimized geometry Values from VASP.

Cell and atoms, written as Quantum ESPRESSO input:
```
&SYSTEM
  ibrav = 0, nat = 5, ntyp = 4
/
ATOMIC_SPECIES
Rb 85.47 Rb.upf
Tl 204.38 Tl.upf
V 50.94 V.upf
N 14.01 N.upf
CELL_PARAMETERS angstrom
4.6331 0.0000 0.0000
0.0000 4.6331 0.0000
0.0000 0.0000 5.9312
ATOMIC_POSITIONS angstrom
Rb 0.0000 0.0000 0.0000
Tl 0.0000 0.0000 2.9656
V 2.3166 2.3166 0.0000
N 0.0000 2.3166 2.9656
N 2.3166 0.0000 2.9656
```

- VASP energy: -3.514 eV per atom

(7)
RbTm2N | GGA-PBE | optimized geometry Values from VASP.

Cell and atoms, written as Quantum ESPRESSO input:
```
&SYSTEM
  ibrav = 0, nat = 4, ntyp = 3
/
ATOMIC_SPECIES
Rb 85.47 Rb.upf
Tm 168.93 Tm.upf
N 14.01 N.upf
CELL_PARAMETERS angstrom
1.7434 1.0066 10.1888
-1.7434 1.0066 10.1888
0.0000 -2.0131 10.1888
ATOMIC_POSITIONS angstrom
Rb 0.0000 0.0000 0.0000
Tm 0.0000 0.0000 3.7871
Tm 0.0000 0.0000 26.7792
N 0.0000 0.0000 15.2832
```

- VASP energy: -5.077 eV per atom

(8)
RbTmWN3 | GGA-PBE | optimized geometry Values from VASP.

Cell and atoms, written as Quantum ESPRESSO input:
```
&SYSTEM
  ibrav = 0, nat = 12, ntyp = 4
/
ATOMIC_SPECIES
Rb 85.47 Rb.upf
Tm 168.93 Tm.upf
W 183.84 W.upf
N 14.01 N.upf
CELL_PARAMETERS angstrom
6.6937 -1.9494 0.0000
6.6937 1.9494 0.0000
-1.9765 0.0000 8.0107
ATOMIC_POSITIONS angstrom
Rb 1.8181 0.0000 0.5361
Rb 9.5929 0.0000 7.4745
Tm 1.0226 0.0000 4.6589
Tm 10.3884 0.0000 3.3518
W 5.2575 0.0000 5.3383
W 6.1534 0.0000 2.6724
N -0.5117 0.0000 2.8250
N 3.2624 0.0000 5.0284
N 4.4135 0.0000 1.8799
N 6.9975 0.0000 6.1307
N 8.1486 0.0000 2.9823
N 11.9227 0.0000 5.1857
```

- VASP energy: -7.839 eV per atom

(9)
RbUVN4 | GGA-PBE | optimized geometry Values from VASP.

Cell and atoms, written as Quantum ESPRESSO input:
```
&SYSTEM
  ibrav = 0, nat = 14, ntyp = 4
/
ATOMIC_SPECIES
Rb 85.47 Rb.upf
U 238.03 U.upf
V 50.94 V.upf
N 14.01 N.upf
CELL_PARAMETERS angstrom
5.7595 0.0000 0.0000
0.0000 5.7006 0.0000
-1.6403 0.0000 7.5481
ATOMIC_POSITIONS angstrom
Rb 0.8912 1.4252 0.6953
Rb 3.2280 4.2755 6.8528
U 0.3423 4.2755 3.4712
U 3.7769 1.4252 4.0770
V 0.9466 1.4252 5.0015
V 3.1727 4.2755 2.5466
N -0.2738 0.0678 4.9992
N -0.2738 2.7825 4.9992
N 1.5065 4.2755 1.7583
N 1.6885 1.4252 3.4103
N 2.4308 4.2755 4.1379
N 2.6128 1.4252 5.7898
N 4.3930 2.9181 2.5489
N 4.3930 5.6328 2.5489
```

- VASP energy: -8.617 eV per atom

(10)
Rb4U3VN8 | GGA-PBE | optimized geometry Values from VASP.

Cell and atoms, written as Quantum ESPRESSO input:
```
&SYSTEM
  ibrav = 0, nat = 16, ntyp = 4
/
ATOMIC_SPECIES
Rb 85.47 Rb.upf
U 238.03 U.upf
V 50.94 V.upf
N 14.01 N.upf
CELL_PARAMETERS angstrom
3.4532 1.9937 6.6713
-3.4532 1.9937 6.6713
0.0000 -3.9875 6.6713
ATOMIC_POSITIONS angstrom
Rb 0.0000 0.0000 0.0000
Rb -1.7266 -0.9969 6.6713
Rb -1.7266 0.9969 13.3426
Rb 0.0000 1.9937 6.6713
U -3.4532 0.0000 10.0069
U -1.7266 0.9969 3.3356
U 1.7266 0.9969 3.3356
V 0.0000 0.0000 10.0069
N -1.7861 -1.0312 11.0175
N 0.0000 0.0000 4.3791
N 0.0000 -2.0625 8.9964
N -1.7861 1.0312 8.9964
N 1.7861 -1.0312 11.0175
N 0.0000 2.0624 11.0175
N 0.0000 0.0000 15.6347
N 1.7861 1.0312 8.9964
```

- VASP energy: -7.866 eV per atom

(11)
Rb3U3WN8 | GGA-PBE | optimized geometry Values from VASP.

Cell and atoms, written as Quantum ESPRESSO input:
```
&SYSTEM
  ibrav = 0, nat = 15, ntyp = 4
/
ATOMIC_SPECIES
Rb 85.47 Rb.upf
U 238.03 U.upf
W 183.84 W.upf
N 14.01 N.upf
CELL_PARAMETERS angstrom
3.4064 1.9667 6.7666
-3.4064 1.9667 6.7666
0.0000 -3.9334 6.7666
ATOMIC_POSITIONS angstrom
Rb -1.7032 -0.9833 6.7666
Rb -1.7032 0.9833 13.5331
Rb 0.0000 1.9667 6.7666
U -3.4064 0.0000 10.1499
U -1.7032 0.9833 3.3833
U 1.7032 0.9833 3.3833
W 0.0000 0.0000 10.1499
N 0.0000 0.0000 4.4290
N -1.6194 -0.9349 11.1491
N 0.0000 -1.8699 9.1506
N -1.6194 0.9350 9.1506
N 1.6194 -0.9350 11.1491
N 0.0000 1.8699 11.1491
N 1.6194 0.9350 9.1506
N 0.0000 0.0000 15.8708
```

- VASP energy: -8.567 eV per atom

(12)
RbU2ZnN5 | GGA-PBE | optimized geometry Values from VASP.

Cell and atoms, written as Quantum ESPRESSO input:
```
&SYSTEM
  ibrav = 0, nat = 18, ntyp = 4
/
ATOMIC_SPECIES
Rb 85.47 Rb.upf
U 238.03 U.upf
Zn 65.41 Zn.upf
N 14.01 N.upf
CELL_PARAMETERS angstrom
-3.2822 3.2822 5.8807
3.2822 -3.2822 5.8807
3.2822 3.2822 -5.8807
ATOMIC_POSITIONS angstrom
Rb 0.0000 0.0000 2.9403
Rb 0.0000 0.0000 8.8210
U 4.4863 1.2041 0.0000
U 1.2041 2.0782 0.0000
U 2.0782 1.2041 5.8807
U -1.2041 2.0782 5.8807
Zn 3.2822 0.0000 2.9403
Zn 0.0000 3.2822 2.9403
N 0.0000 0.0000 0.0000
N 2.3475 0.9347 -1.3424
N 2.3475 -0.9347 4.5383
N 2.3475 0.9347 1.3424
N 2.3475 -0.9347 7.2230
N 0.0000 0.0000 5.8807
N 0.9347 4.2169 -1.3424
N 0.9347 2.3475 4.5383
N 0.9347 4.2169 1.3424
N 0.9347 2.3475 7.2230
```

- VASP energy: -8.022 eV per atom